Below is a geometry-optimized Re2NiBr structure, with properties calculated at the PBE level.

Lattice parameters (Å, degrees): 3.020 3.150 7.189 89.78 90.00 90.00
Sites, in units of the cell vectors:
Br (0.000, 0.495, 0.506)
Ni (0.500, 0.503, 0.795)
Re (0.000, 0.002, 0.004)
Re (0.500, 0.500, 0.196)

SG	Pm
polymorph energy (0 for the lowest one)	0	meV per atom
calculated total energy	-7.615	eV/atom
formation energy without anion corrections	473	meV/atom